Record 1
The following is a DFT calculation (PBE-GGA) of crystalline Ba2MnRh at its relaxed geometry.

The structure in CIF format:
```
data_Ba2MnRh
_cell_length_a 11.6189
_cell_length_b 11.6189
_cell_length_c 4.9452
_cell_angle_alpha 90.00
_cell_angle_beta 90.00
_cell_angle_gamma 90.00
_symmetry_space_group_name_H-M 'I -4 2 d'
_symmetry_Int_Tables_number 122
_symmetry_space_group_name_Hall 'I -4 2bw'
loop_
_atom_site_label
_atom_site_fract_x
_atom_site_fract_y
_atom_site_fract_z
Ba1 0.0765 0.2500 0.1250
Mn1 0.0000 0.0000 0.5000
Rh1 0.0000 0.0000 0.0000
```

Results
- Fermi-level density of states: 4.16 states/eV/cell
- Relative energy among the computed polymorphs: 227 meV per atom
- Final energy: -78.0 eV for the cell shown
- Formation enthalpy at 0 K: 0.22 eV/atom



Record 2
The following is a DFT calculation (PBE-GGA) of crystalline LaSb2TeSe at its relaxed geometry.

The structure in CIF format:
```
data_LaSb2TeSe
_cell_length_a 5.4361
_cell_length_b 5.4361
_cell_length_c 5.4101
_cell_angle_alpha 90.00
_cell_angle_beta 90.00
_cell_angle_gamma 90.00
_symmetry_space_group_name_H-M 'P 4/m m m'
_symmetry_Int_Tables_number 123
_symmetry_space_group_name_Hall '-P 4 2'
loop_
_atom_site_label
_atom_site_fract_x
_atom_site_fract_y
_atom_site_fract_z
La1 0.0000 0.0000 0.0000
Sb1 0.0000 0.5000 0.5000
Te1 0.5000 0.5000 0.0000
Se1 0.5000 0.5000 0.5000
```

Results
- E_form (uncorrected): -0.157 eV per atom
- Fermi-level density of states: 4.18 states/eV/cell
- Relative energy among the computed polymorphs: 0 meV per atom
- Final energy: -20.6 eV for the cell shown